DFT (PBE) results for a relaxed Ca3In crystal.

abc: 6.684 6.684 6.684
angles: 116.62 116.62 116.62
Element x y z (fractional)
Ca 0.000 0.000 0.000
Ca 0.500 0.000 0.500
Ca 0.500 0.500 0.000
In 0.000 0.500 0.500

Properties
ΔH_f (0 K) in kJ/mol of formula units: -41
SG: R-3m, No. 166